# TaZnFeCu PBE relaxed
data_TaZnFeCu
_cell_length_a 4.276
_cell_length_b 4.276
_cell_length_c 4.276
_cell_angle_alpha 60.00
_cell_angle_beta 60.00
_cell_angle_gamma 60.00
_space_group_name_H-M_alt 'P 1'
_space_group_IT_number 1
loop_
_space_group_symop_operation_xyz
'x,y,z'
loop_
_atom_site_label
_atom_site_type_symbol
_atom_site_fract_x
_atom_site_fract_y
_atom_site_fract_z
Cu1 Cu 0.500 0.500 0.500
Fe1 Fe 0.750 0.750 0.750
Ta1 Ta 0.250 0.250 0.250
Zn1 Zn 0.000 0.000 0.000
# Uncorrected energy: -24.3 eV for the cell shown
# Energy above the lowest structure with this stoichiometry: 0.1503 eV/atom
# ΔH_f (0 K): 0.212 eV/atom
# Total magnetic moment: 0.508 μB per atom
# SG: F-43m, No. 216